(1)
First-principles (GGA-PBEsol) data for a relaxed structure of RbNa2ScSi, as listed in the Alexandria database.

a = 5.125 Å, b = 5.125 Å, c = 5.960 Å
α = 90.00°, β = 90.00°, γ = 90.00°
Atoms (fractional coordinates):
Rb 0.000 0.000 0.000
Na 0.000 0.500 0.000
Na 0.500 0.000 0.000
Sc 0.500 0.500 0.500
Si 0.000 0.000 0.500

Values from the calculation:
The calculation puts the total energy at -2.13 eV/atom. For the density of states at the Fermi level, the calculation gives 3.26 states/eV per cell. As for the total moment: 0.00 μB/f.u. As for the space-group type: P4/mmm (123).

(2)
First-principles (GGA-PBEsol) data for a relaxed structure of Sr7Nb6O21, as listed in the Alexandria database.

a = 16.524 Å, b = 16.524 Å, c = 16.524 Å
α = 19.82°, β = 19.82°, γ = 19.82°
Atoms (fractional coordinates):
Sr 0.000 0.000 0.000
Sr 0.153 0.153 0.153
Sr 0.232 0.232 0.232
Sr 0.384 0.384 0.384
Sr 0.616 0.616 0.616
Sr 0.768 0.768 0.768
Sr 0.847 0.847 0.847
Nb 0.073 0.073 0.073
Nb 0.309 0.309 0.309
Nb 0.457 0.457 0.457
Nb 0.543 0.543 0.543
Nb 0.691 0.691 0.691
Nb 0.927 0.927 0.927
O 0.000 0.500 0.500
O 0.089 0.626 0.144
O 0.139 0.573 0.710
O 0.144 0.089 0.626
O 0.217 0.753 0.311
O 0.247 0.689 0.783
O 0.290 0.861 0.427
O 0.311 0.217 0.753
O 0.374 0.856 0.911
O 0.427 0.290 0.861
O 0.500 0.000 0.500
O 0.500 0.500 0.000
O 0.573 0.710 0.139
O 0.626 0.144 0.089
O 0.689 0.783 0.247
O 0.710 0.139 0.573
O 0.753 0.311 0.217
O 0.783 0.247 0.689
O 0.856 0.911 0.374
O 0.861 0.427 0.290
O 0.911 0.374 0.856

Values from the calculation:
The calculation puts the total energy at -8.40 eV/atom. For the density of states at the Fermi level, the calculation gives 4.02 states/eV per cell. As for the total moment: 0.00 μB/f.u. As for the space-group type: R-3 (148).

(3)
First-principles (GGA-PBEsol) data for a relaxed structure of ZrRe2Sb, as listed in the Alexandria database.

a = 4.609 Å, b = 4.609 Å, c = 4.609 Å
α = 60.00°, β = 60.00°, γ = 60.00°
Atoms (fractional coordinates):
Zr 0.000 0.000 0.000
Re 0.250 0.250 0.250
Re 0.500 0.500 0.500
Sb 0.750 0.750 0.750

Values from the calculation:
The calculation puts the total energy at -9.70 eV/atom. For the density of states at the Fermi level, the calculation gives 5.70 states/eV per cell. As for the total moment: 0.00 μB/f.u. As for the space-group type: F-43m (216).

(4)
First-principles (GGA-PBEsol) data for a relaxed structure of AlInI2N, as listed in the Alexandria database.

a = 6.002 Å, b = 6.002 Å, c = 4.023 Å
α = 90.00°, β = 90.00°, γ = 90.00°
Atoms (fractional coordinates):
Al 0.000 0.000 0.000
In 0.500 0.500 0.500
I 0.000 0.500 0.500
I 0.500 0.000 0.500
N 0.500 0.500 0.000

Values from the calculation:
The calculation puts the total energy at -3.28 eV/atom. For the density of states at the Fermi level, the calculation gives 2.72 states/eV per cell. As for the total moment: 1.01 μB/f.u. As for the space-group type: P4/mmm (123).